{
  "formula": "NaPbO2",
  "functional": "PBE",
  "state": "relaxed",
  "lattice_angstrom": [[6.973, 0.000, -0.283], [2.545, 6.353, -1.620], [-2.545, 6.353, 1.620]],
  "species": ["O", "O", "O", "O", "Pb", "Pb", "Na", "Na"],
  "frac_coords": [[0.250, 0.664, 0.641], [0.250, 0.141, 0.164], [0.750, 0.859, 0.836], [0.750, 0.336, 0.359], [0.750, 0.943, 0.443], [0.250, 0.057, 0.557], [0.750, 0.343, 0.843], [0.250, 0.657, 0.157]],
  "magnetic_moment_mub_per_atom": 0.00,
  "total_energy_ev_per_atom": -4.68,
  "volume_a3_per_atom": 16.80
}